# DyAl12Pd6

An optimized crystal structure of DyAl12Pd6 (PBE, Alexandria via LeMat-Bulk).

Properties
VASP energy (eV/cell): -92.081

Structure (POSCAR):
```
DyAl12Pd6
1.0
7.1795 -0.0226 -0.0318
-1.8016 6.9499 -0.0318
-1.8016 -2.3206 6.5510
Al Pd Dy
12 6 1
direct
0.1476 0.3986 0.3986
0.5000 0.8854 0.1146
0.8854 0.5000 0.1146
0.5000 0.1146 0.8854
0.1146 0.5000 0.8854
0.1146 0.8854 0.5000
0.3986 0.1476 0.3986
0.6014 0.6014 0.8524
0.8524 0.6014 0.6014
0.8854 0.1146 0.5000
0.6014 0.8524 0.6014
0.3986 0.3986 0.1476
0.2798 0.7087 0.2798
0.2913 0.7202 0.7202
0.7087 0.2798 0.2798
0.7202 0.2913 0.7202
0.7202 0.7202 0.2913
0.2798 0.2798 0.7087
0.0000 0.0000 0.0000
```